Record 1
Below is an optimized crystal structure of TbPr5Er8, with properties calculated at the PBE level.

```
TbPr5Er8
1.0
-4.335 6.510 -3.265
-4.674 -4.154 5.720
6.968 3.227 3.586
Er Pr Tb
8 5 1
direct
0.923 0.088 0.660
0.572 0.912 0.835
0.664 0.398 0.920
0.165 0.737 0.077
0.522 0.602 0.266
0.734 0.256 0.336
0.080 0.744 0.478
0.340 0.263 0.428
0.500 0.000 0.500
0.808 0.673 0.703
0.030 0.327 0.134
0.866 0.896 0.192
0.297 0.104 0.970
0.250 0.500 0.750
```


Record 2
TbPr4Er4, relaxed, DFT PBE; ΔE to the lowest computed polymorph = 83.8 meV/atom
1.0
-4.000 3.871 1.062
-4.113 -2.191 7.753
0.683 2.521 8.598
Er Pr Tb
4 4 1
direct
0.070 0.233 0.626
0.381 0.575 0.665
0.930 0.767 0.374
0.619 0.425 0.335
0.280 0.156 0.284
0.868 0.310 0.957
0.132 0.690 0.043
0.720 0.844 0.716
0.500 0.000 0.000


Record 3
Tb9PrEr2, relaxed, DFT PBE; ΔE to the lowest computed polymorph = 12.7 meV/atom
1.0
-2.399 1.794 1.845
-8.222 -5.938 -4.915
4.637 -3.667 9.595
Tb Er Pr
9 2 1
direct
0.000 0.500 0.000
0.500 0.178 0.357
0.500 0.822 0.643
0.500 0.357 0.178
0.000 0.500 0.500
0.000 0.000 0.500
0.500 0.178 0.822
0.500 0.822 0.178
0.500 0.643 0.822
0.000 0.667 0.333
0.000 0.333 0.667
0.000 0.000 0.000


Record 4
Below is an optimized crystal structure of Tb2PrEr5, with properties calculated at the PBE level.

```
Tb2PrEr5
1.0
7.097 0.000 0.000
0.000 7.097 0.000
-3.548 -3.548 4.986
Pr Tb Er
1 2 5
direct
0.222 0.222 0.445
0.222 0.722 0.444
0.722 0.222 0.444
0.722 0.222 0.944
0.222 0.722 0.944
0.222 0.222 0.944
0.722 0.722 0.944
0.722 0.722 0.444
```


Number 1: raw total energy -61.71 eV/cell, energy of formation from the pure elements 0.237 eV per atom. Number 2: raw total energy -41.05 eV/cell, energy of formation from the pure elements 0.106 eV per atom. Number 3: raw total energy -55.17 eV/cell, energy of formation from the pure elements 0.034 eV per atom. Number 4: raw total energy -36.69 eV/cell, energy of formation from the pure elements 0.020 eV per atom.